[1]
# RbCoReSi2, optimized geometry, DFT GGA-PBEsol
data_RbCoReSi2
_chemical_formula_sum 'Rb1 Co1 Re1 Si2'
_symmetry_space_group_name_H-M 'P 4/m m m'
_symmetry_Int_Tables_number 123
_symmetry_space_group_name_Hall '-P 4 2'
_cell_length_a 4.8985
_cell_length_b 4.8985
_cell_length_c 4.2083
_cell_angle_alpha 90.00
_cell_angle_beta 90.00
_cell_angle_gamma 90.00
loop_
_atom_site_label
_atom_site_type_symbol
_atom_site_fract_x
_atom_site_fract_y
_atom_site_fract_z
_atom_site_occupancy
Rb1 Rb 0.0000 0.0000 0.0000 1
Co1 Co 0.0000 0.0000 0.5000 1
Re1 Re 0.5000 0.5000 0.5000 1
Si1 Si 0.0000 0.5000 0.0000 1
# - ΔE_f (raw): 306 kJ/mol of atoms
# - D(E_F): 5.90 states/eV/f.u.
# - Crystal system: tetragonal
# - E: -3.55 eV per atom

=====

[2]
# RbCoRh3, optimized geometry, DFT GGA-PBEsol
data_RbCoRh3
_chemical_formula_sum 'Rb1 Co1 Rh3'
_symmetry_space_group_name_H-M 'P m -3 m'
_symmetry_Int_Tables_number 221
_symmetry_space_group_name_Hall '-P 4 2 3'
_cell_length_a 4.6326
_cell_length_b 4.6326
_cell_length_c 4.6326
_cell_angle_alpha 90.00
_cell_angle_beta 90.00
_cell_angle_gamma 90.00
loop_
_atom_site_label
_atom_site_type_symbol
_atom_site_fract_x
_atom_site_fract_y
_atom_site_fract_z
_atom_site_occupancy
Rb1 Rb 0.0000 0.0000 0.0000 1
Co1 Co 0.5000 0.5000 0.5000 1
Rh1 Rh 0.0000 0.0000 0.5000 1
# - ΔH_f (0 K): 2.812 eV per atom
# - D(E_F): 8.22 states/eV/f.u.
# - Crystal system: cubic
# - E: -3.82 eV per atom

=====

[3]
# RbCoSb3, optimized geometry, DFT GGA-PBEsol
data_RbCoSb3
_chemical_formula_sum 'Rb1 Co1 Sb3'
_symmetry_space_group_name_H-M 'P m -3 m'
_symmetry_Int_Tables_number 221
_symmetry_space_group_name_Hall '-P 4 2 3'
_cell_length_a 5.0884
_cell_length_b 5.0884
_cell_length_c 5.0884
_cell_angle_alpha 90.00
_cell_angle_beta 90.00
_cell_angle_gamma 90.00
loop_
_atom_site_label
_atom_site_type_symbol
_atom_site_fract_x
_atom_site_fract_y
_atom_site_fract_z
_atom_site_occupancy
Rb1 Rb 0.0000 0.0000 0.0000 1
Co1 Co 0.5000 0.5000 0.5000 1
Sb1 Sb 0.0000 0.5000 0.5000 1
# - ΔE_f (raw): 14 kJ/mol of atoms
# - D(E_F): 4.16 states/eV/f.u.
# - Crystal system: cubic
# - E: -4.34 eV per atom
# - Energy above the lowest structure with this stoichiometry: 0 meV/atom

=====

[4]
# RbCoSb3, optimized geometry, DFT GGA-PBEsol
data_RbCoSb3
_chemical_formula_sum 'Rb1 Co1 Sb3'
_symmetry_space_group_name_H-M 'P m -3 m'
_symmetry_Int_Tables_number 221
_symmetry_space_group_name_Hall '-P 4 2 3'
_cell_length_a 5.7620
_cell_length_b 5.7620
_cell_length_c 5.7620
_cell_angle_alpha 90.00
_cell_angle_beta 90.00
_cell_angle_gamma 90.00
loop_
_atom_site_label
_atom_site_type_symbol
_atom_site_fract_x
_atom_site_fract_y
_atom_site_fract_z
_atom_site_occupancy
Rb1 Rb 0.0000 0.0000 0.0000 1
Co1 Co 0.5000 0.5000 0.5000 1
Sb1 Sb 0.0000 0.0000 0.5000 1
# - ΔE_f (raw): 211 kJ/mol of atoms
# - D(E_F): 6.74 states/eV/f.u.
# - Crystal system: cubic
# - E: -2.30 eV per atom
# - Energy above the lowest structure with this stoichiometry: 2035 meV/atom